A plane-wave DFT calculation with GGA+U was carried out for a geometry-optimized MoP2O8 structure.

CIF file:
```
data_MoP2O8
_chemical_formula_sum 'Mo4 P8 O32'
_cell_length_a 4.9903
_cell_length_b 13.0131
_cell_length_c 11.3674
_cell_angle_alpha 90.00
_cell_angle_beta 111.24
_cell_angle_gamma 90.00
_space_group_name_H-M_alt 'P 1 21/c 1'
_space_group_IT_number 14
loop_
_space_group_symop_operation_xyz
'x,y,z'
'-x,-y,-z'
'-x,y+1/2,-z+1/2'
'x,-y+1/2,z+1/2'
loop_
_atom_site_label
_atom_site_type_symbol
_atom_site_fract_x
_atom_site_fract_y
_atom_site_fract_z
_atom_site_occupancy
Mo1 Mo 0.0877 0.0660 0.2865 1
P1 P 0.3272 0.0925 0.6182 1
P2 P 0.3974 0.7425 0.2030 1
O1 O 0.0694 0.0463 0.1371 1
O2 O 0.1252 0.0958 0.4832 1
O3 O 0.1995 0.0377 0.7079 1
O4 O 0.2069 0.6716 0.2542 1
O5 O 0.2428 0.6812 0.6078 1
O6 O 0.3798 0.5434 0.8652 1
O7 O 0.3834 0.2085 0.6650 1
O8 O 0.3995 0.1671 0.3328 1
```

Output
ΔE to the lowest computed polymorph (meV/atom): 0
Electronic total energy (eV/atom): -7.106
Theoretical density (g/cm³): 2.76